# GGA-PBE PuNpGaFe, optimized geometry
data_PuNpGaFe
_chemical_formula_sum 'Pu4 Np4 Ga4 Fe4'
_cell_length_a 6.642
_cell_length_b 6.642
_cell_length_c 6.642
_cell_angle_alpha 90.00
_cell_angle_beta 90.00
_cell_angle_gamma 90.00
_space_group_name_H-M_alt 'F -4 3 m'
_space_group_IT_number 216
_space_group_name_Hall 'F -4 2 3'
loop_
_atom_site_label
_atom_site_fract_x
_atom_site_fract_y
_atom_site_fract_z
Pu1 0.000 0.000 0.000
Np1 0.250 0.250 0.250
Ga1 0.250 0.250 0.750
Fe1 0.000 0.000 0.500
# - magnetization (μB per formula unit) = 8.00
# - E (eV per atom) = -9.676